(1)
An optimized crystal structure of RbMgS2. Source: Alexandria via LeMat-Bulk, functional PBE.

Geometry as CIF:
```
data_RbMgS2
_chemical_formula_sum 'Rb4 Mg4 S8'
_space_group_name_H-M_alt 'I 41/a m d'
_space_group_IT_number 141
_cell_length_a 5.9309
_cell_length_b 5.9309
_cell_length_c 14.8576
_cell_angle_alpha 90.00
_cell_angle_beta 90.00
_cell_angle_gamma 90.00
loop_
_space_group_symop_operation_xyz
'x,y,z'
'-x,-y,-z'
'-y+1/4,x+3/4,z+1/4'
'y+1/4,-x+3/4,-z+1/4'
'-x+1/2,-y,z+1/2'
'x+1/2,y,-z+1/2'
'y+1/4,-x+1/4,z+3/4'
'-y+1/4,x+1/4,-z+3/4'
'x,-y,-z'
'-x,y,z'
'-y+1/4,-x+1/4,-z+3/4'
'y+1/4,x+1/4,z+3/4'
'-x+1/2,y,-z+1/2'
'x+1/2,-y,z+1/2'
'y+1/4,x+3/4,-z+1/4'
'-y+1/4,-x+3/4,z+1/4'
'x+1/2,y+1/2,z+1/2'
'-x+1/2,-y+1/2,-z+1/2'
'-y+3/4,x+1/4,z+3/4'
'y+3/4,-x+1/4,-z+3/4'
'-x,-y+1/2,z'
'x,y+1/2,-z'
'y+3/4,-x+3/4,z+1/4'
'-y+3/4,x+3/4,-z+1/4'
'x+1/2,-y+1/2,-z+1/2'
'-x+1/2,y+1/2,z+1/2'
'-y+3/4,-x+3/4,-z+1/4'
'y+3/4,x+3/4,z+1/4'
'-x,y+1/2,-z'
'x,-y+1/2,z'
'y+3/4,x+1/4,-z+3/4'
'-y+3/4,-x+1/4,z+3/4'
loop_
_atom_site_label
_atom_site_type_symbol
_atom_site_fract_x
_atom_site_fract_y
_atom_site_fract_z
Rb1 Rb 0.0000 0.2500 0.3750
Mg1 Mg 0.0000 0.2500 0.8750
S1 S 0.0000 0.0000 0.0000
```

Computed properties:
Total moment, Bohr magnetons per cell: 0.00
Uncorrected formation energy, kJ/mol of formula units: -345
Calculated total energy, eV/cell: -57.6
Theoretical density, g/cm³: 2.210

=====

(2)
An optimized crystal structure of Rb3Mg2S4. Source: Alexandria via LeMat-Bulk, functional PBE.

Geometry as CIF:
```
data_Rb3Mg2S4
_chemical_formula_sum 'Rb6 Mg4 S8'
_space_group_name_H-M_alt 'C 1 2/m 1'
_space_group_IT_number 12
_cell_length_a 17.4939
_cell_length_b 4.3098
_cell_length_c 7.9063
_cell_angle_alpha 90.00
_cell_angle_beta 115.79
_cell_angle_gamma 90.00
loop_
_space_group_symop_operation_xyz
'x,y,z'
'-x,-y,-z'
'-x,y,-z'
'x,-y,z'
'x+1/2,y+1/2,z'
'-x+1/2,-y+1/2,-z'
'-x+1/2,y+1/2,-z'
'x+1/2,-y+1/2,z'
loop_
_atom_site_label
_atom_site_type_symbol
_atom_site_fract_x
_atom_site_fract_y
_atom_site_fract_z
Rb1 Rb 0.0000 0.0000 0.0000
Rb2 Rb 0.1270 0.0000 0.5326
Mg1 Mg 0.1741 0.5000 0.9597
S1 S 0.0279 0.5000 0.7129
S2 S 0.2115 0.0000 0.1495
```

Computed properties:
Total moment, Bohr magnetons per cell: 2.06
Uncorrected formation energy, kJ/mol of formula units: -975
Calculated total energy, eV/cell: -65.4
Theoretical density, g/cm³: 2.681

=====

(3)
An optimized crystal structure of Rb2MgSbS4. Source: Alexandria via LeMat-Bulk, functional PBE.

Geometry as CIF:
```
data_Rb2MgSbS4
_chemical_formula_sum 'Rb16 Mg8 Sb8 S32'
_space_group_name_H-M_alt 'F d d d'
_space_group_IT_number 70
_cell_length_a 6.3452
_cell_length_b 14.4852
_cell_length_c 23.7965
_cell_angle_alpha 90.00
_cell_angle_beta 90.00
_cell_angle_gamma 90.00
loop_
_space_group_symop_operation_xyz
'x,y,z'
'-x,-y,-z'
'-x+1/4,-y+1/4,z'
'x+1/4,y+1/4,-z'
'x,-y+1/4,-z+1/4'
'-x,y+1/4,z+1/4'
'-x+1/4,y,-z+1/4'
'x+1/4,-y,z+1/4'
'x,y+1/2,z+1/2'
'-x,-y+1/2,-z+1/2'
'-x+1/4,-y+3/4,z+1/2'
'x+1/4,y+3/4,-z+1/2'
'x,-y+3/4,-z+3/4'
'-x,y+3/4,z+3/4'
'-x+1/4,y+1/2,-z+3/4'
'x+1/4,-y+1/2,z+3/4'
'x+1/2,y,z+1/2'
'-x+1/2,-y,-z+1/2'
'-x+3/4,-y+1/4,z+1/2'
'x+3/4,y+1/4,-z+1/2'
'x+1/2,-y+1/4,-z+3/4'
'-x+1/2,y+1/4,z+3/4'
'-x+3/4,y,-z+3/4'
'x+3/4,-y,z+3/4'
'x+1/2,y+1/2,z'
'-x+1/2,-y+1/2,-z'
'-x+3/4,-y+3/4,z'
'x+3/4,y+3/4,-z'
'x+1/2,-y+3/4,-z+1/4'
'-x+1/2,y+3/4,z+1/4'
'-x+3/4,y+1/2,-z+1/4'
'x+3/4,-y+1/2,z+1/4'
loop_
_atom_site_label
_atom_site_type_symbol
_atom_site_fract_x
_atom_site_fract_y
_atom_site_fract_z
Rb1 Rb 0.1250 0.1250 0.3050
Mg1 Mg 0.1250 0.1250 0.1250
Sb1 Sb 0.1250 0.1250 0.6250
S1 S 0.1188 0.2749 0.4272
```

Computed properties:
Total moment, Bohr magnetons per cell: 7.44
Uncorrected formation energy, kJ/mol of formula units: -641
Calculated total energy, eV/cell: -246.4
Theoretical density, g/cm³: 2.704

=====

(4)
An optimized crystal structure of RbMgSbS3. Source: Alexandria via LeMat-Bulk, functional PBE.

Geometry as CIF:
```
data_RbMgSbS3
_chemical_formula_sum 'Rb2 Mg2 Sb2 S6'
_space_group_name_H-M_alt 'P 1 21/m 1'
_space_group_IT_number 11
_cell_length_a 9.4838
_cell_length_b 4.0868
_cell_length_c 9.8011
_cell_angle_alpha 90.00
_cell_angle_beta 103.64
_cell_angle_gamma 90.00
loop_
_space_group_symop_operation_xyz
'x,y,z'
'-x,-y,-z'
'-x,y+1/2,-z'
'x,-y+1/2,z'
loop_
_atom_site_label
_atom_site_type_symbol
_atom_site_fract_x
_atom_site_fract_y
_atom_site_fract_z
Rb1 Rb 0.1787 0.2500 0.2145
Mg1 Mg 0.1001 0.2500 0.5987
Sb1 Sb 0.3540 0.7500 0.8642
S1 S 0.1605 0.2500 0.8588
S2 S 0.1696 0.7500 0.4933
S3 S 0.4270 0.7500 0.1228
```

Computed properties:
Total moment, Bohr magnetons per cell: 0.00
Uncorrected formation energy, kJ/mol of formula units: -535
Calculated total energy, eV/cell: -49.2
Theoretical density, g/cm³: 2.948

=====

(5)
An optimized crystal structure of Rb2MgSi2S6. Source: Alexandria via LeMat-Bulk, functional PBE.

Geometry as CIF:
```
data_Rb2MgSi2S6
_chemical_formula_sum 'Rb6 Mg3 Si6 S18'
_space_group_name_H-M_alt 'R -3 m'
_space_group_IT_number 166
_space_group_name_Hall '-R 3 2"'
_cell_length_a 6.9617
_cell_length_b 6.9617
_cell_length_c 22.4420
_cell_angle_alpha 90.00
_cell_angle_beta 90.00
_cell_angle_gamma 120.00
loop_
_atom_site_label
_atom_site_type_symbol
_atom_site_fract_x
_atom_site_fract_y
_atom_site_fract_z
Rb1 Rb 0.0000 0.0000 0.2191
Mg1 Mg 0.0000 0.0000 0.0000
Si1 Si 0.0000 0.0000 0.4055
S1 S 0.0049 0.5024 0.7453
```

Computed properties:
Total moment, Bohr magnetons per cell: 0.00
Uncorrected formation energy, kJ/mol of formula units: -936
Calculated total energy, eV/cell: -146.5
Theoretical density, g/cm³: 2.347

=====

(6)
An optimized crystal structure of RbSmMgS3. Source: Alexandria via LeMat-Bulk, functional PBE.

Geometry as CIF:
```
data_RbSmMgS3
_chemical_formula_sum 'Rb2 Sm2 Mg2 S6'
_space_group_name_H-M_alt 'P 1 21/m 1'
_space_group_IT_number 11
_cell_length_a 9.0987
_cell_length_b 4.1903
_cell_length_c 9.9335
_cell_angle_alpha 90.00
_cell_angle_beta 107.45
_cell_angle_gamma 90.00
loop_
_space_group_symop_operation_xyz
'x,y,z'
'-x,-y,-z'
'-x,y+1/2,-z'
'x,-y+1/2,z'
loop_
_atom_site_label
_atom_site_type_symbol
_atom_site_fract_x
_atom_site_fract_y
_atom_site_fract_z
Rb1 Rb 0.2037 0.2500 0.2232
Sm1 Sm 0.3341 0.7500 0.8627
Mg1 Mg 0.0844 0.2500 0.6087
S1 S 0.1223 0.2500 0.8585
S2 S 0.1892 0.7500 0.5432
S3 S 0.4642 0.7500 0.1501
```

Computed properties:
Total moment, Bohr magnetons per cell: 0.00
Uncorrected formation energy, kJ/mol of formula units: -960
Calculated total energy, eV/cell: -59.2
Theoretical density, g/cm³: 3.275

=====

(7)
An optimized crystal structure of Rb2SmMg2S4. Source: Alexandria via LeMat-Bulk, functional PBE.

Geometry as CIF:
```
data_Rb2SmMg2S4
_chemical_formula_sum 'Rb4 Sm2 Mg4 S8'
_space_group_name_H-M_alt 'C 1 2/m 1'
_space_group_IT_number 12
_cell_length_a 15.7101
_cell_length_b 4.1082
_cell_length_c 8.0048
_cell_angle_alpha 90.00
_cell_angle_beta 108.11
_cell_angle_gamma 90.00
loop_
_space_group_symop_operation_xyz
'x,y,z'
'-x,-y,-z'
'-x,y,-z'
'x,-y,z'
'x+1/2,y+1/2,z'
'-x+1/2,-y+1/2,-z'
'-x+1/2,y+1/2,-z'
'x+1/2,-y+1/2,z'
loop_
_atom_site_label
_atom_site_type_symbol
_atom_site_fract_x
_atom_site_fract_y
_atom_site_fract_z
Rb1 Rb 0.1241 0.0000 0.0355
Sm1 Sm 0.0000 0.0000 0.5000
Mg1 Mg 0.1716 0.5000 0.4778
S1 S 0.0239 0.5000 0.2662
S2 S 0.2026 0.0000 0.6606
```

Computed properties:
Total moment, Bohr magnetons per cell: 1.53
Uncorrected formation energy, kJ/mol of formula units: -1195
Calculated total energy, eV/cell: -77.5
Theoretical density, g/cm³: 3.369

=====

(8)
An optimized crystal structure of Rb2Mg2TaS6. Source: Alexandria via LeMat-Bulk, functional PBE.

Geometry as CIF:
```
data_Rb2Mg2TaS6
_chemical_formula_sum 'Rb4 Mg4 Ta2 S12'
_space_group_name_H-M_alt 'C 1 2/m 1'
_space_group_IT_number 12
_cell_length_a 6.4216
_cell_length_b 11.0189
_cell_length_c 8.2172
_cell_angle_alpha 90.00
_cell_angle_beta 105.72
_cell_angle_gamma 90.00
loop_
_space_group_symop_operation_xyz
'x,y,z'
'-x,-y,-z'
'-x,y,-z'
'x,-y,z'
'x+1/2,y+1/2,z'
'-x+1/2,-y+1/2,-z'
'-x+1/2,y+1/2,-z'
'x+1/2,-y+1/2,z'
loop_
_atom_site_label
_atom_site_type_symbol
_atom_site_fract_x
_atom_site_fract_y
_atom_site_fract_z
Rb1 Rb 0.0000 0.1703 0.0000
Mg1 Mg 0.0000 0.3335 0.5000
Ta1 Ta 0.0000 0.0000 0.5000
S1 S 0.2217 0.1573 0.6806
S2 S 0.2455 0.5000 0.6795
```

Computed properties:
Total moment, Bohr magnetons per cell: 0.00
Uncorrected formation energy, kJ/mol of formula units: -1157
Calculated total energy, eV/cell: -107.5
Theoretical density, g/cm³: 3.518

=====

(9)
An optimized crystal structure of RbMg2TaS. Source: Alexandria via LeMat-Bulk, functional PBE.

Geometry as CIF:
```
data_RbMg2TaS
_chemical_formula_sum 'Rb1 Mg2 Ta1 S1'
_space_group_name_H-M_alt 'P 4/m m m'
_space_group_IT_number 123
_space_group_name_Hall '-P 4 2'
_cell_length_a 5.5079
_cell_length_b 5.5079
_cell_length_c 6.2834
_cell_angle_alpha 90.00
_cell_angle_beta 90.00
_cell_angle_gamma 90.00
loop_
_atom_site_label
_atom_site_type_symbol
_atom_site_fract_x
_atom_site_fract_y
_atom_site_fract_z
Rb1 Rb 0.0000 0.0000 0.0000
Mg1 Mg 0.0000 0.5000 0.5000
Ta1 Ta 0.0000 0.0000 0.5000
S1 S 0.5000 0.5000 0.0000
```

Computed properties:
Total moment, Bohr magnetons per cell: 3.78
Uncorrected formation energy, kJ/mol of formula units: 657
Calculated total energy, eV/cell: -13.3
Theoretical density, g/cm³: 3.024

=====

(10)
An optimized crystal structure of Rb2MgTaS4. Source: Alexandria via LeMat-Bulk, functional PBE.

Geometry as CIF:
```
data_Rb2MgTaS4
_chemical_formula_sum 'Rb4 Mg2 Ta2 S8'
_space_group_name_H-M_alt 'I -4'
_space_group_IT_number 82
_cell_length_a 7.3372
_cell_length_b 7.3372
_cell_length_c 9.1077
_cell_angle_alpha 90.00
_cell_angle_beta 90.00
_cell_angle_gamma 90.00
loop_
_space_group_symop_operation_xyz
'x,y,z'
'y,-x,-z'
'-x,-y,z'
'-y,x,-z'
'x+1/2,y+1/2,z+1/2'
'y+1/2,-x+1/2,-z+1/2'
'-x+1/2,-y+1/2,z+1/2'
'-y+1/2,x+1/2,-z+1/2'
loop_
_atom_site_label
_atom_site_type_symbol
_atom_site_fract_x
_atom_site_fract_y
_atom_site_fract_z
Rb1 Rb 0.0000 0.0000 0.0000
Rb2 Rb 0.0000 0.5000 0.2500
Mg1 Mg 0.0000 0.0000 0.5000
Ta1 Ta 0.0000 0.5000 0.7500
S1 S 0.1439 0.7317 0.6173
```

Computed properties:
Total moment, Bohr magnetons per cell: 2.04
Uncorrected formation energy, kJ/mol of formula units: -848
Calculated total energy, eV/cell: -81.4
Theoretical density, g/cm³: 3.417